Density functional theory data (GGA-PBEsol) for an optimized crystal structure of BaPbAu.

Lattice parameters (Å, degrees): 5.0199 5.0199 4.1519 90.00 90.00 120.00
Last column: nearest neighbours and their distance in Å.
Element x y z (fractional)
1 Ba 0.0000 0.0000 0.0000  6 Pb 3.56, 6 Au 3.56
2 Pb 0.6667 0.3333 0.5000  3 Au 2.90
3 Au 0.3333 0.6667 0.5000  3 Pb 2.90

Computed properties:
Calculated total energy = -3.93 eV/atom
Energy of formation from the pure elements = -0.573 eV per atom
Symmetry = P-6m2 (187)

***

Density functional theory data (GGA-PBEsol) for an optimized crystal structure of InFe2BH.

Lattice parameters (Å, degrees): 3.9149 3.9149 3.4880 90.00 90.00 90.00
Last column: nearest neighbours and their distance in Å.
Element x y z (fractional)
1 In 0.0000 0.0000 0.0000  8 Fe 2.62, 4 H 2.77
2 Fe 0.0000 0.5000 0.5000  2 B 1.96
3 Fe 0.5000 0.0000 0.5000  2 B 1.96
4 B 0.5000 0.5000 0.5000  2 H 1.74
5 H 0.5000 0.5000 0.0000  2 B 1.74

Computed properties:
Calculated total energy = -5.70 eV/atom
Symmetry = P4/mmm (123)

***

Density functional theory data (GGA-PBEsol) for an optimized crystal structure of KSc2Tl.

Lattice parameters (Å, degrees): 3.4383 3.4383 34.0784 90.00 90.00 120.00
Last column: nearest neighbours and their distance in Å.
Element x y z (fractional)
1 K 0.0000 0.0000 0.0000  6 K 3.44
2 K 0.3333 0.6667 0.6667  6 K 3.44
3 K 0.6667 0.3333 0.3333  6 K 3.44
4 Sc 0.0000 0.0000 0.2342  3 Tl 3.04
5 Sc 0.0000 0.0000 0.7658  3 Tl 3.04
6 Sc 0.3333 0.6667 0.4325  3 Tl 3.04
7 Sc 0.3333 0.6667 0.9009  3 Tl 3.04
8 Sc 0.6667 0.3333 0.0991  3 Tl 3.04
9 Sc 0.6667 0.3333 0.5675  3 Tl 3.04
10 Tl 0.0000 0.0000 0.5000  6 Sc 3.04
11 Tl 0.3333 0.6667 0.1667  6 Sc 3.04
12 Tl 0.6667 0.3333 0.8333  6 Sc 3.04

Computed properties:
Calculated total energy = -4.03 eV/atom
Energy of formation from the pure elements = 0.216 eV per atom
Symmetry = R-3m (166)

***

Density functional theory data (GGA-PBEsol) for an optimized crystal structure of KDyP4O12.

Lattice parameters (Å, degrees): 10.2809 8.8869 12.6896 90.00 125.03 90.00
Last column: nearest neighbours and their distance in Å.
Element x y z (fractional)
1 K 0.2488 0.0645 0.4585  4 O 2.73-3.00
2 K 0.2488 0.4355 0.9585  4 O 2.73-3.00
3 K 0.7512 0.5645 0.0415  4 O 2.73-3.00
4 K 0.7512 0.9355 0.5415  4 O 2.73-3.00
5 Dy 0.1857 0.7284 0.6848  8 O 2.26-2.42
6 Dy 0.1857 0.7716 0.1848  8 O 2.26-2.42
7 Dy 0.8143 0.2284 0.8152  8 O 2.26-2.42
8 Dy 0.8143 0.2716 0.3152  8 O 2.26-2.42
9 P 0.1099 0.0940 0.7586  4 O 1.49-1.61
10 P 0.1099 0.4060 0.2586  4 O 1.49-1.61
11 P 0.1768 0.1690 0.1365  4 O 1.49-1.62
12 P 0.1768 0.3310 0.6365  4 O 1.49-1.62
13 P 0.3021 0.6096 0.4784  4 O 1.49-1.61
14 P 0.3021 0.8904 0.9784  4 O 1.49-1.61
15 P 0.4799 0.0217 0.2277  4 O 1.49-1.62
16 P 0.4799 0.4783 0.7277  4 O 1.49-1.62
17 P 0.5201 0.5217 0.2723  4 O 1.49-1.62
18 P 0.5201 0.9783 0.7723  4 O 1.49-1.62
19 P 0.6979 0.1096 0.0216  4 O 1.49-1.61
20 P 0.6979 0.3904 0.5216  4 O 1.49-1.61
21 P 0.8232 0.6690 0.3635  4 O 1.49-1.62
22 P 0.8232 0.8310 0.8635  4 O 1.49-1.62
23 P 0.8901 0.5940 0.7414  4 O 1.49-1.61
24 P 0.8901 0.9060 0.2414  4 O 1.49-1.61
25 O 0.0260 0.6796 0.7584  1 P 1.49
26 O 0.0260 0.8204 0.2584  1 P 1.49
27 O 0.0722 0.2409 0.0071  1 P 1.49
28 O 0.0722 0.2591 0.5071  1 P 1.49
29 O 0.0732 0.5399 0.1741  1 P 1.50
30 O 0.0732 0.9601 0.6741  1 P 1.50
31 O 0.1320 0.0258 0.1700  1 P 1.50
32 O 0.1320 0.4742 0.6700  1 P 1.50
33 O 0.2009 0.6665 0.5193  1 P 1.49
34 O 0.2009 0.8335 0.0193  1 P 1.49
35 O 0.2223 0.2110 0.7484  2 P 1.61-1.62
36 O 0.2223 0.2890 0.2484  2 P 1.61-1.62
37 O 0.2330 0.0499 0.9064  2 P 1.60-1.61
38 O 0.2330 0.4501 0.4064  2 P 1.60-1.61
39 O 0.3371 0.7105 0.4032  1 P 1.50
40 O 0.3371 0.7895 0.9032  1 P 1.50
41 O 0.3498 0.1552 0.1630  2 P 1.61-1.62
42 O 0.3498 0.3448 0.6630  2 P 1.61-1.62
43 O 0.3583 0.5900 0.1887  1 P 1.49
44 O 0.3583 0.9100 0.6887  1 P 1.49
45 O 0.4330 0.5903 0.7889  1 P 1.50
46 O 0.4330 0.9097 0.2889  1 P 1.50
47 O 0.4665 0.5496 0.6045  2 P 1.61-1.62
48 O 0.4665 0.9504 0.1045  2 P 1.61-1.62
49 O 0.5335 0.0496 0.8955  2 P 1.61-1.62
50 O 0.5335 0.4504 0.3955  2 P 1.61-1.62
51 O 0.5670 0.0903 0.7111  1 P 1.50
52 O 0.5670 0.4097 0.2111  1 P 1.50
53 O 0.6417 0.0900 0.3113  1 P 1.49
54 O 0.6417 0.4100 0.8113  1 P 1.49
55 O 0.6502 0.6552 0.3370  2 P 1.61-1.62
56 O 0.6502 0.8448 0.8370  2 P 1.61-1.62
57 O 0.6629 0.2105 0.0968  1 P 1.50
58 O 0.6629 0.2895 0.5968  1 P 1.50
59 O 0.7670 0.5499 0.5936  2 P 1.60-1.61
60 O 0.7670 0.9501 0.0936  2 P 1.60-1.61
61 O 0.7777 0.7110 0.7516  2 P 1.61-1.62
62 O 0.7777 0.7890 0.2516  2 P 1.61-1.62
63 O 0.7991 0.1665 0.9807  1 P 1.49
64 O 0.7991 0.3335 0.4807  1 P 1.49
65 O 0.8680 0.5258 0.3300  1 P 1.50
66 O 0.8680 0.9742 0.8300  1 P 1.50
67 O 0.9268 0.0399 0.3259  1 P 1.50
68 O 0.9268 0.4601 0.8259  1 P 1.50
69 O 0.9278 0.7409 0.4929  1 P 1.49
70 O 0.9278 0.7591 0.9929  1 P 1.49
71 O 0.9740 0.1796 0.7416  1 P 1.49
72 O 0.9740 0.3204 0.2416  1 P 1.49

Computed properties:
Formation energy (no corrections) = -239.8 kJ per mole of atoms
Calculated total energy = -7.61 eV/atom
Symmetry = P2_1/c (14)

***

Density functional theory data (GGA-PBEsol) for an optimized crystal structure of AlAg2Br.

Lattice parameters (Å, degrees): 3.8436 3.8436 10.9923 90.00 90.00 90.00
Last column: nearest neighbours and their distance in Å.
Element x y z (fractional)
1 Al 0.0000 0.0000 0.0000  4 Ag 2.72
2 Al 0.5000 0.5000 0.5000  4 Ag 2.72
3 Ag 0.0000 0.0000 0.5000  4 Al 2.72
4 Ag 0.0000 0.5000 0.7500  4 Br 2.72
5 Ag 0.5000 0.0000 0.2500  4 Br 2.72
6 Ag 0.5000 0.5000 0.0000  4 Al 2.72
7 Br 0.0000 0.5000 0.2500  4 Ag 2.72
8 Br 0.5000 0.0000 0.7500  4 Ag 2.72

Computed properties:
Formation energy (no corrections) = 18.7 kJ per mole of atoms
Calculated total energy = -2.95 eV/atom
Symmetry = I-4m2 (119)

***

Density functional theory data (GGA-PBEsol) for an optimized crystal structure of Cd2MoIr.

Lattice parameters (Å, degrees): 2.9005 4.7392 4.8611 90.00 90.00 90.00
Last column: nearest neighbours and their distance in Å.
Element x y z (fractional)
1 Cd 0.0000 0.0000 0.0000  6 Cd 2.78-2.90, 4 Ir 2.83
2 Cd 0.5000 0.5000 0.0000  6 Cd 2.78-2.90, 4 Mo 2.83
3 Mo 0.0000 0.5000 0.5000  4 Ir 2.78, 4 Cd 2.83, 2 Mo 2.90
4 Ir 0.5000 0.0000 0.5000  4 Mo 2.78, 4 Cd 2.83, 2 Ir 2.90

Computed properties:
Calculated total energy = -5.63 eV/atom
Energy of formation from the pure elements = 0.369 eV per atom
Symmetry = Pmmm (47)

***

Density functional theory data (GGA-PBEsol) for an optimized crystal structure of FeOsSe2.

Lattice parameters (Å, degrees): 2.9196 2.9196 7.5807 90.00 90.00 90.00
Last column: nearest neighbours and their distance in Å.
Element x y z (fractional)
1 Fe 0.0000 0.0000 0.0000  4 Se 2.39
2 Os 0.5000 0.5000 0.2437  4 Se 2.51, 4 Fe 2.77
3 Se 0.0000 0.0000 0.4323  4 Os 2.51
4 Se 0.5000 0.5000 0.8400  4 Fe 2.39

Computed properties:
Formation energy (no corrections) = 13.3 kJ per mole of atoms
Calculated total energy = -7.08 eV/atom
Symmetry = P4mm (99)

***

Density functional theory data (GGA-PBEsol) for an optimized crystal structure of HfGaSe2Br.

Lattice parameters (Å, degrees): 4.8826 4.8826 4.7869 90.00 90.00 90.00
Last column: nearest neighbours and their distance in Å.
Element x y z (fractional)
1 Hf 0.0000 0.0000 0.0000  8 Se 3.42, 4 Br 3.45
2 Ga 0.5000 0.5000 0.5000  2 Br 2.39, 4 Se 2.44
3 Se 0.0000 0.5000 0.5000  2 Ga 2.44
4 Se 0.5000 0.0000 0.5000  2 Ga 2.44
5 Br 0.5000 0.5000 0.0000  2 Ga 2.39

Computed properties:
Formation energy (no corrections) = 16.8 kJ per mole of atoms
Calculated total energy = -4.51 eV/atom
Symmetry = P4/mmm (123)